MnTcPPdCl after structural relaxation, computed with PBE-GGA.

Cell: 3.7339 3.7339 7.8391 Å, 103.68 103.68 60.04°
With the nearest neighbours (Å) after each atom.
Positions (direct):
Mn  0.0000  0.0000  0.0000  3 P 2.38, 3 Pd 2.59
Tc  0.2506  0.2506  0.7508  3 P 2.33
P  0.6222  0.6222  0.8663  3 Tc 2.33, 3 Mn 2.38, 1 Pd 2.44
Pd  0.7294  0.7294  0.1898  1 P 2.44, 1 Cl 2.45, 3 Mn 2.59
Cl  0.8383  0.8383  0.5142  1 Pd 2.45

Computed properties:
* relative energy among the computed polymorphs: 43 meV/atom
* E_tot: -6.575 eV per atom
* N(E_F): 1.83 states/eV/f.u.
* formation energy from raw total energies: -0.178 eV per atom
* symmetry: Cm (8)
* magnetic moment: 4.002 μB/f.u.



SmHoTe2 after structural relaxation, computed with PBE-GGA.

Cell: 5.3822 5.3822 3.8020 Å, 90.00 90.00 90.00°
With the nearest neighbours (Å) after each atom.
Positions (direct):
Sm  0.0000  0.0000  0.0000  8 Te 3.29
Ho  0.5000  0.5000  0.0000  8 Te 3.29
Te  0.0000  0.5000  0.5000  4 Ho 3.29, 4 Sm 3.29
Te  0.5000  0.0000  0.5000  4 Ho 3.29, 4 Sm 3.29

Computed properties:
* relative energy among the computed polymorphs: 147 meV/atom
* E_tot: -5.094 eV per atom
* N(E_F): 3.25 states/eV/f.u.
* formation energy from raw total energies: -1.199 eV per atom
* symmetry: P4/mmm (123)
* magnetic moment: 0.808 μB/f.u.



K2RbNa2Sn2 after structural relaxation, computed with PBE-GGA.

Cell: 6.0123 6.0123 8.6634 Å, 110.24 110.24 60.00°
With the nearest neighbours (Å) after each atom.
Positions (direct):
K  0.1513  0.1513  0.4529  1 Na 3.37, 3 K 3.55-3.56, 1 Rb 3.60, 3 Sn 3.66-3.67
K  0.8487  0.8487  0.5471  1 Na 3.37, 3 K 3.55-3.56, 1 Rb 3.60, 3 Sn 3.66-3.67
Rb  0.0000  0.0000  0.0000  2 K 3.60, 6 Na 3.60-3.61
Na  0.2924  0.2924  0.8776  1 K 3.37, 4 Sn 3.40-3.77, 3 Rb 3.60-3.61
Na  0.7076  0.7076  0.1224  1 K 3.37, 4 Sn 3.40-3.77, 3 Rb 3.60-3.61
Sn  0.4362  0.4362  0.3061  1 Sn 3.08, 1 Na 3.40
Sn  0.5638  0.5638  0.6939  1 Sn 3.08, 1 Na 3.40

Computed properties:
* E_tot: -2.081 eV per atom
* N(E_F): 3.86 states/eV/f.u.
* symmetry: C2/m (12)
* E_form: -0.108 eV/atom
* magnetic moment: 0.000 μB/f.u.



Cd2CuPb after structural relaxation, computed with PBE-GGA.

Cell: 10.2398 10.2398 10.2398 Å, 18.12 18.12 18.12°
With the nearest neighbours (Å) after each atom.
Positions (direct):
Cd  0.2351  0.2351  0.2351  3 Cu 2.78
Cd  0.7649  0.7649  0.7649  3 Cu 2.78
Cu  0.5000  0.5000  0.5000  6 Cd 2.78
Pb  0.0000  0.0000  0.0000  6 Pb 3.22, 6 Cd 3.50

Computed properties:
* E_tot: -2.247 eV per atom
* N(E_F): 1.67 states/eV/f.u.
* symmetry: R-3m (166)
* E_form: 0.162 eV/atom
* magnetic moment: 0.000 μB/f.u.



ScZn after structural relaxation, computed with PBE-GGA.

Cell: 7.0082 7.0082 7.0082 Å, 109.47 109.47 109.47°
With the nearest neighbours (Å) after each atom.
Positions (direct):
Sc  0.0000  0.0000  0.6034  4 Zn 2.62-2.71
Sc  0.0000  0.6034  0.0000  4 Zn 2.62-2.71
Sc  0.3966  0.3966  0.3966  4 Zn 2.62-2.71
Sc  0.6034  0.0000  0.0000  4 Zn 2.62-2.71
Zn  0.0000  0.0000  0.2296  4 Sc 2.62-2.71, 3 Zn 2.63
Zn  0.0000  0.2296  0.0000  4 Sc 2.62-2.71, 3 Zn 2.63
Zn  0.2296  0.0000  0.0000  4 Sc 2.62-2.71, 3 Zn 2.63
Zn  0.7704  0.7704  0.7704  4 Sc 2.62-2.71, 3 Zn 2.63

Computed properties:
* E_tot: -3.163 eV per atom
* N(E_F): 0.67 states/eV/f.u.
* symmetry: I-43m (217)
* E_form: 0.639 eV/atom
* magnetic moment: 0.000 μB/f.u.



Pm5Cd4Ru after structural relaxation, computed with PBE-GGA.

Cell: 3.6682 3.6682 19.8418 Å, 90.00 90.00 90.00°
With the nearest neighbours (Å) after each atom.
Positions (direct):
Pm  0.0000  0.0000  0.0000  8 Cd 3.30, 4 Pm 3.67
Pm  0.0000  0.0000  0.2062  8 Cd 3.28-3.31, 4 Pm 3.67
Pm  0.0000  0.0000  0.4170  4 Ru 3.07, 1 Pm 3.29, 4 Cd 3.38
Pm  0.0000  0.0000  0.5830  4 Ru 3.07, 1 Pm 3.29, 4 Cd 3.38
Pm  0.0000  0.0000  0.7938  8 Cd 3.28-3.31, 4 Pm 3.67
Cd  0.5000  0.5000  0.1029  8 Pm 3.30-3.31, 4 Cd 3.67
Cd  0.5000  0.5000  0.3075  8 Pm 3.28-3.38, 4 Cd 3.67
Cd  0.5000  0.5000  0.6925  8 Pm 3.28-3.38, 4 Cd 3.67
Cd  0.5000  0.5000  0.8971  8 Pm 3.30-3.31, 4 Cd 3.67
Ru  0.5000  0.5000  0.5000  8 Pm 3.07

Computed properties:
* E_tot: -3.961 eV per atom
* N(E_F): 9.75 states/eV/f.u.
* symmetry: P4/mmm (123)
* E_form: -0.292 eV/atom
* magnetic moment: 0.369 μB/f.u.



AcAlGaPt3 after structural relaxation, computed with PBE-GGA.

Cell: 7.3813 7.3813 5.7941 Å, 90.00 90.00 124.57°
With the nearest neighbours (Å) after each atom.
Positions (direct):
Ac  0.2254  0.7746  0.7500  2 Pt 3.06, 2 Ga 3.24
Ac  0.7746  0.2254  0.2500  2 Pt 3.06, 2 Ga 3.24
Al  0.4920  0.5080  0.2500  5 Pt 2.47-2.49
Al  0.5080  0.4920  0.7500  5 Pt 2.47-2.49
Ga  0.1149  0.8851  0.2500  5 Pt 2.44-2.53
Ga  0.8851  0.1149  0.7500  5 Pt 2.44-2.53
Pt  0.2094  0.2094  0.0000  2 Al 2.47, 2 Ga 2.53
Pt  0.2094  0.2094  0.5000  2 Al 2.47, 2 Ga 2.53
Pt  0.3017  0.6983  0.2500  1 Ga 2.44, 1 Al 2.49
Pt  0.6983  0.3017  0.7500  1 Ga 2.44, 1 Al 2.49
Pt  0.7906  0.7906  0.0000  2 Al 2.47, 2 Ga 2.53
Pt  0.7906  0.7906  0.5000  2 Al 2.47, 2 Ga 2.53

Computed properties:
* E_tot: -5.696 eV per atom
* N(E_F): 1.42 states/eV/f.u.
* symmetry: Cmcm (63)
* E_form: -0.863 eV/atom
* magnetic moment: 0.000 μB/f.u.



InMoRu3 after structural relaxation, computed with PBE-GGA.

Cell: 4.6677 4.6677 4.6677 Å, 90.00 90.00 90.00°
With the nearest neighbours (Å) after each atom.
Positions (direct):
In  0.0000  0.0000  0.0000  12 Ru 3.30
Mo  0.5000  0.5000  0.5000  6 Ru 2.33
Ru  0.0000  0.5000  0.5000  2 Mo 2.33
Ru  0.5000  0.0000  0.5000  2 Mo 2.33
Ru  0.5000  0.5000  0.0000  2 Mo 2.33

Computed properties:
* relative energy among the computed polymorphs: 0 meV/atom
* E_tot: -6.947 eV per atom
* N(E_F): 6.88 states/eV/f.u.
* symmetry: Pm-3m (221)
* E_form: 1.332 eV/atom
* magnetic moment: 0.000 μB/f.u.